[1]
# TiTe3Pd

A relaxed TiTe3Pd crystal (PBE-GGA, Alexandria).

Cell: 5.234 5.234 5.234 Å, 90.00 90.00 90.00°
Space group Pm-3m (No. 221)
Inequivalent atoms, fractional coordinates:
Ti 0.000 0.000 0.000 [1 per cell]
Te 0.000 0.500 0.500 [3 per cell]
Pd 0.500 0.500 0.500 [1 per cell]

Computed properties:
energy relative to the elements, uncorrected = 0.480 eV/atom
distance to the lowest polymorph of the same formula = 0.865 eV/atom

---

[2]
# NdYTe2

A relaxed NdYTe2 crystal (PBE-GGA, Alexandria).

Cell: 4.4128 4.4128 21.9090 Å, 90.00 90.00 120.00°
Space group R-3m (No. 166, hexagonal axes)
Inequivalent atoms, fractional coordinates:
Nd 0.0000 0.0000 0.0000 [3 per cell]
Y 0.0000 0.0000 0.5000 [3 per cell]
Te 0.0000 0.0000 0.2462 [6 per cell]

Computed properties:
energy relative to the elements, uncorrected = -1.370 eV/atom
distance to the lowest polymorph of the same formula = 0.026 eV/atom

---

[3]
# NpReAs2

A relaxed NpReAs2 crystal (PBE-GGA, Alexandria).

Cell: 3.0178 3.0178 28.9574 Å, 90.00 90.00 120.00°
Space group R-3m (No. 166, hexagonal axes)
Inequivalent atoms, fractional coordinates:
Np 0.0000 0.0000 0.0000 [3 per cell]
Re 0.0000 0.0000 0.5000 [3 per cell]
As 0.0000 0.0000 0.1022 [6 per cell]

Computed properties:
energy relative to the elements = 0.152 eV/atom

---

[4]
# TbNd2Th

A relaxed TbNd2Th crystal (PBE-GGA, Alexandria).

Cell: 3.6413 3.6413 35.2359 Å, 90.00 90.00 120.00°
Space group R3m (No. 160, hexagonal axes)
Inequivalent atoms, fractional coordinates:
Tb 0.0000 0.0000 0.0000 [3 per cell]
Nd 0.0000 0.0000 0.2490 [3 per cell]
Nd 0.0000 0.0000 0.4182 [3 per cell]
Th 0.0000 0.0000 0.8335 [3 per cell]

Computed properties:
energy relative to the elements = 0.029 eV/atom
distance to the lowest polymorph of the same formula = 0.000 eV/atom

---

[5]
# Li5TlAu6

A relaxed Li5TlAu6 crystal (PBE-GGA, Alexandria).

Cell: 4.260 12.849 7.351 Å, 90.00 90.00 90.00°
Space group Cmmm (No. 65)
Inequivalent atoms, fractional coordinates:
Li 0.000 0.000 0.000 [2 per cell]
Li 0.000 0.331 0.000 [4 per cell]
Li 0.000 0.333 0.500 [4 per cell]
Tl 0.000 0.000 0.500 [2 per cell]
Au 0.000 0.173 0.237 [8 per cell]
Au 0.000 0.500 0.212 [4 per cell]

Computed properties:
energy relative to the elements = -0.439 eV/atom
distance to the lowest polymorph of the same formula = 0.003 eV/atom

---

[6]
# OsPbOF2

A relaxed OsPbOF2 crystal (PBE-GGA, Alexandria).

Cell: 4.652 4.652 3.773 Å, 90.00 90.00 90.00°
Space group P4/mmm (No. 123)
Inequivalent atoms, fractional coordinates:
Os 0.000 0.000 0.000 [1 per cell]
Pb 0.500 0.500 0.500 [1 per cell]
O 0.000 0.000 0.500 [1 per cell]
F 0.000 0.500 0.000 [2 per cell]

Computed properties:
energy relative to the elements, uncorrected = -0.804 eV/atom
distance to the lowest polymorph of the same formula = 0.000 eV/atom

---

[7]
# Sc2TiCd

A relaxed Sc2TiCd crystal (PBE-GGA, Alexandria).

Cell: 3.189 3.189 8.385 Å, 90.00 90.00 90.00°
Space group P4/mmm (No. 123)
Inequivalent atoms, fractional coordinates:
Sc 0.000 0.000 0.240 [2 per cell]
Ti 0.500 0.500 0.000 [1 per cell]
Cd 0.500 0.500 0.500 [1 per cell]

Computed properties:
energy relative to the elements = -0.108 eV/atom

---

[8]
# Tb2CeTmCo2

A relaxed Tb2CeTmCo2 crystal (PBE-GGA, Alexandria).

Cell: 6.717 12.788 6.590 Å, 90.00 90.00 90.00°
Space group Ibam (No. 72)
Inequivalent atoms, fractional coordinates:
Tb 0.203 0.200 0.000 [8 per cell]
Ce 0.000 0.000 0.250 [4 per cell]
Tm 0.000 0.500 0.250 [4 per cell]
Co 0.214 0.097 0.500 [8 per cell]

Computed properties:
energy relative to the elements = -0.118 eV/atom

---

[9]
# AlTcP

A relaxed AlTcP crystal (PBE-GGA, Alexandria).

Cell: 3.000 9.698 6.136 Å, 90.00 90.00 90.00°
Space group Cmcm (No. 63)
Inequivalent atoms, fractional coordinates:
Al 0.000 0.165 0.250 [4 per cell]
Tc 0.000 0.500 0.000 [4 per cell]
P 0.000 0.121 0.750 [4 per cell]

Computed properties:
energy relative to the elements = -0.313 eV/atom
distance to the lowest polymorph of the same formula = 0.201 eV/atom

---

[10]
# MgTa3Co

A relaxed MgTa3Co crystal (PBE-GGA, Alexandria).

Cell: 4.631 4.631 4.631 Å, 90.00 90.00 90.00°
Space group Pm-3m (No. 221)
Inequivalent atoms, fractional coordinates:
Mg 0.000 0.000 0.000 [1 per cell]
Ta 0.000 0.500 0.500 [3 per cell]
Co 0.500 0.500 0.500 [1 per cell]

Computed properties:
energy relative to the elements = 0.686 eV/atom
distance to the lowest polymorph of the same formula = 0.000 eV/atom

---

[11]
# SrCdPd2Pb

A relaxed SrCdPd2Pb crystal (PBE-GGA, Alexandria).

Cell: 5.236 5.236 5.898 Å, 90.00 90.00 90.00°
Space group P4/mmm (No. 123)
Inequivalent atoms, fractional coordinates:
Sr 0.000 0.000 0.000 [1 per cell]
Cd 0.000 0.000 0.500 [1 per cell]
Pd 0.000 0.500 0.000 [2 per cell]
Pb 0.500 0.500 0.500 [1 per cell]

Computed properties:
energy relative to the elements = 0.676 eV/atom

---

Number 1: total moment 0.020 Bohr magnetons per cell, N(E_F) 1.946 states/eV per atom, calculated density 6.22 g cm⁻³. Number 2: total moment 0.000 Bohr magnetons per cell, N(E_F) 0.588 states/eV per atom, calculated density 6.58 g cm⁻³. Number 3: total moment 10.564 Bohr magnetons per cell, N(E_F) 0.938 states/eV per atom, calculated density 12.50 g cm⁻³. Number 4: total moment 0.000 Bohr magnetons per cell, N(E_F) 1.573 states/eV per atom, calculated density 8.37 g cm⁻³. Number 5: total moment 0.000 Bohr magnetons per cell, N(E_F) 0.177 states/eV per atom, calculated density 11.73 g cm⁻³. Number 6: total moment 0.062 Bohr magnetons per cell, N(E_F) 0.680 states/eV per atom, calculated density 9.18 g cm⁻³. Number 7: total moment 0.000 Bohr magnetons per cell, N(E_F) 1.004 states/eV per atom, calculated density 4.87 g cm⁻³. Number 8: total moment 0.000 Bohr magnetons per cell, N(E_F) 1.211 states/eV per atom, calculated density 8.74 g cm⁻³. Number 9: total moment 0.000 Bohr magnetons per cell, N(E_F) 0.627 states/eV per atom, calculated density 5.80 g cm⁻³. Number 10: total moment 0.000 Bohr magnetons per cell, N(E_F) 0.841 states/eV per atom, calculated density 10.47 g cm⁻³. Number 11: total moment 0.000 Bohr magnetons per cell, N(E_F) 0.537 states/eV per atom, calculated density 6.37 g cm⁻³.